Entry from Alexandria: a PBEsol-optimized structure of Mn3Cr3Co2O16 (meta-GGA SCAN).

Structure (extended XYZ):
```
24
Lattice="-2.7087 -0.8789 4.8497 4.8533 -2.6438 -1.0417 4.2782 6.4549 3.5619" Properties=species:S:1:pos:R:3 pbc="T T T"
Mn 4.4678 -0.9686 0.7251
Mn 2.9299 3.8469 3.9907
Mn 3.9952 2.0970 5.8823
Cr 2.0049 0.3057 1.1927
Cr 3.0925 -1.4809 3.1240
Cr 1.5320 3.3682 6.3903
Co 4.4188 1.0764 2.6445
Co 4.0338 4.8862 6.3857
O 3.7983 2.8486 2.5984
O 2.7381 0.3876 2.9538
O 2.7315 -1.4447 1.2625
O 6.2114 -0.5635 0.1179
O 8.3520 2.6562 1.8909
O 4.8531 1.1159 4.4714
O 3.8665 0.7927 0.9014
O 4.7952 -0.7329 2.5505
O -0.9321 -0.4972 4.2022
O 6.1521 1.5310 2.0889
O 2.4149 4.8409 5.4965
O 3.3266 3.3432 7.1155
O 2.3556 2.3615 4.9952
O 0.3641 -0.0909 1.8398
O 4.5106 3.7083 5.0275
O 1.4051 -1.8009 3.6883
```

Output
Raw formation energy ... -1.85 eV/atom
Crystal system ... monoclinic
SG ... Cm
Uncorrected energy ... -288.66 eV per formula unit

---

Entry from Alexandria: a PBEsol-optimized structure of CrCoMo3 (meta-GGA SCAN).

Structure (extended XYZ):
```
5
Lattice="4.3835 0.0000 0.0000 0.0000 4.3835 0.0000 0.0000 0.0000 4.3835" Properties=species:S:1:pos:R:3 pbc="T T T"
Cr 2.1917 2.1917 2.1917
Mo 0.0000 2.1917 0.0000
Mo 0.0000 0.0000 2.1917
Mo 2.1917 0.0000 0.0000
Co 0.0000 0.0000 0.0000
```

Output
Crystal system ... cubic
SG ... Pm-3m
DFT formation energy ... 1310 meV/atom
Uncorrected energy ... -133.80 eV per formula unit

---

Entry from Alexandria: a PBEsol-optimized structure of CrCo6Mo (meta-GGA SCAN).

Structure (extended XYZ):
```
32
Lattice="6.0437 -0.0017 0.0000 -2.0222 5.6953 0.0000 0.0000 0.0000 9.8735" Properties=species:S:1:pos:R:3 pbc="T T T"
Co -0.0307 4.2887 7.3548
Co 4.0324 3.5951 8.6103
Co -0.0110 2.0985 8.6103
Co 4.0521 1.4049 7.3548
Co 1.9814 0.6912 8.6103
Co 2.0401 5.0023 8.6103
Co 2.0107 2.8468 4.9367
Co -0.0338 2.1198 6.1442
Co 2.0091 0.6769 6.1442
Co -0.0307 4.2887 2.5187
Co 4.0552 3.5738 3.7293
Co -0.0338 2.1198 3.7293
Co 4.0521 1.4049 2.5187
Co 2.0091 0.6769 3.7293
Co 2.0124 5.0167 3.7293
Co 2.0107 2.8468 0.0000
Co -0.0110 2.0985 1.2632
Co 1.9814 0.6912 1.2632
Co 0.0000 0.0000 4.9367
Co 2.0124 5.0167 6.1442
Co 4.0552 3.5738 6.1442
Co 0.0000 0.0000 0.0000
Co 2.0401 5.0023 1.2632
Co 4.0324 3.5951 1.2632
Cr 0.0225 4.2511 4.9367
Cr 3.9990 1.4425 4.9367
Cr 0.0000 0.0000 7.3811
Cr 0.0000 0.0000 2.4924
Mo 0.0188 4.2537 0.0000
Mo 4.0027 1.4398 0.0000
Mo 2.0107 2.8468 7.3892
Mo 2.0107 2.8468 2.4843
```

Output
Crystal system ... orthorhombic
SG ... Cmmm
DFT formation energy ... 187 meV/atom
Uncorrected energy ... -155.60 eV per formula unit